[1]
The following is a PBE calculation of a geometry-optimized TmHfZnTc structure, from the Alexandria database.

Computed properties:
spin magnetization	0.0	Bohr magnetons per cell
DFT total energy	-108.094	eV per cell
density	11.2	g/cm3
ΔH_f (0 K)	-0.240	eV/atom

Cell: 6.7218 6.7218 6.7218 Å, 90.00 90.00 90.00°
Closest atoms and distances in Å follow each position.
Space group F-43m (No. 216)
Inequivalent atoms, fractional coordinates:
Tm1 0.0000 0.0000 0.0000 (multiplicity 4)  4 Tc 2.91, 4 Zn 2.91
Hf1 0.0000 0.0000 0.5000 (multiplicity 4)  4 Tc 2.91, 4 Zn 2.91
Zn1 0.2500 0.2500 0.2500 (multiplicity 4)  4 Hf 2.91, 4 Tm 2.91
Tc1 0.2500 0.2500 0.7500 (multiplicity 4)  4 Hf 2.91, 4 Tm 2.91

[2]
The following is a PBE calculation of a geometry-optimized HfUTc structure, from the Alexandria database.

Computed properties:
spin magnetization	1.0	Bohr magnetons per cell
DFT total energy	-63.354	eV per cell
density	14.5	g/cm3
ΔH_f (0 K)	-0.023	eV/atom
polymorph energy (0 for the lowest one)	0	meV/atom

Cell: 3.4089 3.4089 10.1340 Å, 90.00 90.00 90.00°
Closest atoms and distances in Å follow each position.
Space group I4mm (No. 107)
Inequivalent atoms, fractional coordinates:
Hf1 0.0000 0.0000 0.0000 (multiplicity 2)  5 Tc 3.04-3.21, 5 U 3.10-3.11
U1 0.0000 0.0000 0.6930 (multiplicity 2)  4 Tc 2.72
Tc1 0.0000 0.0000 0.3170 (multiplicity 2)  4 U 2.72, 4 Hf 3.04

[3]
The following is a PBE calculation of a geometry-optimized HfUTc structure, from the Alexandria database.

Computed properties:
spin magnetization	0.0	Bohr magnetons per cell
DFT total energy	-121.924	eV per cell
density	13.0	g/cm3
ΔH_f (0 K)	0.376	eV/atom
polymorph energy (0 for the lowest one)	399	meV/atom

Cell: 3.4332 3.4332 22.3337 Å, 90.00 90.00 90.00°
Closest atoms and distances in Å follow each position.
Space group I4/mmm (No. 139)
Inequivalent atoms, fractional coordinates:
Hf1 0.0000 0.0000 0.0709 (multiplicity 4)  1 Tc 2.94, 4 U 3.09, 1 Hf 3.17
U1 0.0000 0.0000 0.3432 (multiplicity 4)  4 Tc 2.63
Tc1 0.0000 0.0000 0.2024 (multiplicity 4)  4 U 2.63, 1 Hf 2.94

[4]
The following is a PBE calculation of a geometry-optimized HfUTc structure, from the Alexandria database.

Computed properties:
spin magnetization	0.8	Bohr magnetons per cell
DFT total energy	-31.486	eV per cell
density	15.1	g/cm3
ΔH_f (0 K)	0.041	eV/atom
polymorph energy (0 for the lowest one)	64	meV/atom

Cell: 4.6808 4.6808 2.9745 Å, 90.00 90.00 120.00°
Closest atoms and distances in Å follow each position.
Space group P3m1 (No. 156)
Inequivalent atoms, fractional coordinates:
Hf1 0.0000 0.0000 0.0000 (multiplicity 1)  3 U 2.91, 3 Tc 2.92, 2 Hf 2.97
U1 0.6667 0.3333 0.6364 (multiplicity 1)  3 Tc 2.82, 3 Hf 2.91, 2 U 2.97
Tc1 0.3333 0.6667 0.3709 (multiplicity 1)  3 U 2.82, 3 Hf 2.92, 2 Tc 2.97

[5]
The following is a PBE calculation of a geometry-optimized HfUTc4 structure, from the Alexandria database.

Computed properties:
spin magnetization	4.4	Bohr magnetons per cell
DFT total energy	-252.031	eV per cell
density	12.7	g/cm3
ΔH_f (0 K)	-0.050	eV/atom
polymorph energy (0 for the lowest one)	0	meV/atom

Cell: 7.5028 7.5028 7.5028 Å, 90.00 90.00 90.00°
Closest atoms and distances in Å follow each position.
Space group F-43m (No. 216)
Inequivalent atoms, fractional coordinates:
Hf1 0.0000 0.0000 0.0000 (multiplicity 4)  12 Tc 3.11, 4 U 3.25
U1 0.2500 0.2500 0.2500 (multiplicity 4)  12 Tc 3.11, 4 Hf 3.25
Tc1 0.1257 0.1257 0.6257 (multiplicity 16)  6 Tc 2.64-2.67

[6]
The following is a PBE calculation of a geometry-optimized HfUTc4 structure, from the Alexandria database.

Computed properties:
spin magnetization	0.0	Bohr magnetons per cell
DFT total energy	-124.388	eV per cell
density	12.9	g/cm3
ΔH_f (0 K)	0.085	eV/atom
polymorph energy (0 for the lowest one)	136	meV/atom

Cell: 4.3373 8.4944 5.8274 Å, 90.00 104.54 90.00°
Closest atoms and distances in Å follow each position.
Space group C2/m (No. 12)
Inequivalent atoms, fractional coordinates:
Hf1 0.0000 0.0000 0.0000 (multiplicity 2)  8 Tc 2.84-3.07, 2 U 2.91
U1 0.0000 0.0000 0.5000 (multiplicity 2)  4 Tc 2.53
Tc1 0.0499 0.3366 0.2551 (multiplicity 8)  1 U 2.53, 3 Tc 2.62-2.78

[7]
The following is a PBE calculation of a geometry-optimized HfV2Tc structure, from the Alexandria database.

Computed properties:
spin magnetization	0.0	Bohr magnetons per cell
DFT total energy	-155.057	eV per cell
density	10.2	g/cm3
ΔH_f (0 K)	-0.052	eV/atom
polymorph energy (0 for the lowest one)	79	meV/atom

Cell: 6.2687 6.2687 6.2687 Å, 90.00 90.00 90.00°
Closest atoms and distances in Å follow each position.
Space group Fm-3m (No. 225)
Inequivalent atoms, fractional coordinates:
Hf1 0.0000 0.0000 0.0000 (multiplicity 4)  8 V 2.71
V1 0.2500 0.2500 0.2500 (multiplicity 8)  4 Hf 2.71, 4 Tc 2.71
Tc1 0.0000 0.0000 0.5000 (multiplicity 4)  8 V 2.71

[8]
The following is a PBE calculation of a geometry-optimized Hf2VTc2 structure, from the Alexandria database.

Computed properties:
spin magnetization	0.0	Bohr magnetons per cell
DFT total energy	-100.642	eV per cell
density	11.2	g/cm3
ΔH_f (0 K)	-0.113	eV/atom

Cell: 6.3677 6.3677 4.4130 Å, 90.00 90.00 90.00°
Closest atoms and distances in Å follow each position.
Space group P4/mbm (No. 127)
Inequivalent atoms, fractional coordinates:
Hf1 0.1761 0.3239 0.0000 (multiplicity 4)  6 Tc 2.73-3.01
V1 0.0000 0.0000 0.5000 (multiplicity 2)  4 Tc 2.44
Tc1 0.1450 0.6450 0.5000 (multiplicity 4)  2 V 2.44, 1 Tc 2.61, 2 Hf 2.73